[1]
Compound: PrCoAgH6
Source: Alexandria
Functional: PBE-GGA
Structure: optimized geometry

Summary:
VASP energy	-4.09	eV/atom

Lattice parameters (Å, degrees): 4.6684 4.6684 4.3118 90.00 90.00 120.00
Last column: nearest neighbours and their distance in Å.
Space group P-6m2 (No. 187)
Inequivalent atoms, fractional coordinates:
1 Pr 0.0000 0.0000 0.0000 [1 per cell]  12 H 2.56
2 Co 0.6667 0.3333 0.5000 [1 per cell]  6 H 1.59
3 Ag 0.3333 0.6667 0.5000 [1 per cell]  6 H 1.93
4 H 0.5268 0.0537 0.2396 [6 per cell]  1 Co 1.59

[2]
Compound: CoAgHPt2
Source: Alexandria
Functional: PBE-GGA
Structure: optimized geometry

Summary:
VASP energy	-4.95	eV/atom

Lattice parameters (Å, degrees): 3.9934 3.9934 3.9598 90.00 90.00 90.00
Last column: nearest neighbours and their distance in Å.
Space group P4/mmm (No. 123)
Inequivalent atoms, fractional coordinates:
1 Co 0.0000 0.0000 0.0000 [1 per cell]  2 H 1.98
2 Ag 0.5000 0.5000 0.0000 [1 per cell]  8 Pt 2.81, 4 Co 2.82
3 H 0.0000 0.0000 0.5000 [1 per cell]  2 Co 1.98, 4 Pt 2.00
4 Pt 0.0000 0.5000 0.5000 [2 per cell]  2 H 2.00

[3]
Compound: Co2AgHRh
Source: Alexandria
Functional: PBE-GGA
Structure: optimized geometry

Summary:
VASP energy	-5.32	eV/atom

Lattice parameters (Å, degrees): 3.8632 3.8632 3.7907 90.00 90.00 90.00
Last column: nearest neighbours and their distance in Å.
Space group P4/mmm (No. 123)
Inequivalent atoms, fractional coordinates:
1 Co 0.0000 0.5000 0.0000 [2 per cell]  2 H 1.93
2 Ag 0.0000 0.0000 0.5000 [1 per cell]  8 Co 2.71, 4 Rh 2.73
3 H 0.5000 0.5000 0.0000 [1 per cell]  2 Rh 1.90, 4 Co 1.93
4 Rh 0.5000 0.5000 0.5000 [1 per cell]  2 H 1.90

[4]
Compound: CoAgHRh2
Source: Alexandria
Functional: PBE-GGA
Structure: optimized geometry

Summary:
VASP energy	-5.38	eV/atom

Lattice parameters (Å, degrees): 3.9311 3.9311 3.8887 90.00 90.00 90.00
Last column: nearest neighbours and their distance in Å.
Space group P4/mmm (No. 123)
Inequivalent atoms, fractional coordinates:
1 Co 0.0000 0.0000 0.0000 [1 per cell]  2 H 1.94
2 Ag 0.5000 0.5000 0.0000 [1 per cell]  8 Rh 2.76, 4 Co 2.78
3 H 0.0000 0.0000 0.5000 [1 per cell]  2 Co 1.94, 4 Rh 1.97
4 Rh 0.0000 0.5000 0.5000 [2 per cell]  2 H 1.97

[5]
Compound: Sc2CoAgH
Source: Alexandria
Functional: PBE-GGA
Structure: optimized geometry

Summary:
VASP energy	-5.52	eV/atom

Lattice parameters (Å, degrees): 4.6186 4.6186 3.4182 90.00 90.00 90.00
Last column: nearest neighbours and their distance in Å.
Space group P4/mmm (No. 123)
Inequivalent atoms, fractional coordinates:
1 Sc 0.0000 0.5000 0.0000 [2 per cell]  2 H 2.31
2 Co 0.0000 0.0000 0.5000 [1 per cell]  2 H 1.71
3 Ag 0.5000 0.5000 0.5000 [1 per cell]  8 Sc 2.87
4 H 0.0000 0.0000 0.0000 [1 per cell]  2 Co 1.71

[6]
Compound: CoAg2SnH
Source: Alexandria
Functional: PBE-GGA
Structure: optimized geometry

Summary:
VASP energy	-3.12	eV/atom

Lattice parameters (Å, degrees): 5.2748 5.2748 3.4875 90.00 90.00 90.00
Last column: nearest neighbours and their distance in Å.
Space group P4/mmm (No. 123)
Inequivalent atoms, fractional coordinates:
1 Co 0.0000 0.0000 0.0000 [1 per cell]  8 Ag 3.16, 2 Co 3.49
2 Ag 0.0000 0.5000 0.5000 [2 per cell]  2 Sn 2.64
3 Sn 0.5000 0.5000 0.5000 [1 per cell]  2 H 1.74
4 H 0.5000 0.5000 0.0000 [1 per cell]  2 Sn 1.74

- Which of these has the lowest VASP energy?
  Sc2CoAgH

- What is the formula in the fifth record?
  Sc2CoAgH

- What is the formula in the third record?
  Co2AgHRh

What did the sixth record say?
Compound: CoAg2SnH
Source: Alexandria
Functional: PBE-GGA
Structure: optimized geometry

Summary:
VASP energy	-3.12	eV/atom

Lattice parameters (Å, degrees): 5.2748 5.2748 3.4875 90.00 90.00 90.00
Last column: nearest neighbours and their distance in Å.
Space group P4/mmm (No. 123)
Inequivalent atoms, fractional coordinates:
1 Co 0.0000 0.0000 0.0000 [1 per cell]  8 Ag 3.16, 2 Co 3.49
2 Ag 0.0000 0.5000 0.5000 [2 per cell]  2 Sn 2.64
3 Sn 0.5000 0.5000 0.5000 [1 per cell]  2 H 1.74
4 H 0.5000 0.5000 0.0000 [1 per cell]  2 Sn 1.74